Density functional theory data (GGA-PBEsol) for a geometry-optimized SiAg2Rh structure.

a = 2.934 Å, b = 2.934 Å, c = 6.970 Å
α = 90.00°, β = 90.00°, γ = 90.00°
Space group P4mm (No. 99)
Asymmetric unit:
Si1 0.000 0.000 0.000 [1 per cell]
Ag1 0.000 0.000 0.544 [1 per cell]
Ag2 0.500 0.500 0.260 [1 per cell]
Rh1 0.500 0.500 0.832 [1 per cell]

Output
crystal system: tetragonal
size of the total moment: 0.00 μB/f.u.
uncorrected formation energy: -80.3 kJ/mol of formula units